Below is crystalline Nd2In5Sn at its relaxed geometry, with properties calculated at the GGA-PBE level.

- Crystal system: orthorhombic
- Density: 7.720 g/cm3

```
data_Nd2In5Sn
_cell_length_a 6.7367
_cell_length_b 13.4074
_cell_length_c 4.6737
_cell_angle_alpha 90.00
_cell_angle_beta 90.00
_cell_angle_gamma 90.00
_space_group_name_H-M_alt 'P b a m'
_space_group_IT_number 55
_space_group_name_Hall '-P 2 2ab'
loop_
_atom_site_label
_atom_site_fract_x
_atom_site_fract_y
_atom_site_fract_z
Nd1 0.2390 0.1225 0.0000
In1 0.0000 0.5000 0.5000
In2 0.0113 0.7499 0.5000
In3 0.2376 0.3719 0.0000
Sn1 0.0000 0.0000 0.5000
```



Below is crystalline CaLa3Ir at its relaxed geometry, with properties calculated at the GGA-PBE level.

- Polymorph energy (0 for the lowest one): 0.0102 eV/atom
- Crystal system: triclinic
- Density: 5.946 g/cm3

```
data_CaLa3Ir
_cell_length_a 6.8894
_cell_length_b 7.0522
_cell_length_c 7.9132
_cell_angle_alpha 89.74
_cell_angle_beta 73.36
_cell_angle_gamma 80.12
_space_group_name_H-M_alt 'P 1'
_space_group_IT_number 1
_space_group_name_Hall 'P 1'
loop_
_atom_site_label
_atom_site_fract_x
_atom_site_fract_y
_atom_site_fract_z
Ca1 0.0000 0.0000 0.0000
Ca2 0.0004 0.4966 0.7814
La1 0.4846 0.2354 0.4036
La2 0.4848 0.7306 0.1199
La3 0.4993 0.7282 0.6329
La4 0.5021 0.2253 0.9163
La5 0.9775 0.4932 0.2776
La6 0.9801 0.9872 0.5035
Ir1 0.7279 0.8610 0.3062
Ir2 0.7382 0.3545 0.6026
```



Below is crystalline Zr8Ga2C3 at its relaxed geometry, with properties calculated at the GGA-PBE level.

- Crystal system: monoclinic
- Density: 5.895 g/cm3

```
data_Zr8Ga2C3
_cell_length_a 13.2420
_cell_length_b 6.6992
_cell_length_c 5.9704
_cell_angle_alpha 90.00
_cell_angle_beta 105.67
_cell_angle_gamma 90.00
_space_group_name_H-M_alt 'C 1 2/m 1'
_space_group_IT_number 12
_space_group_name_Hall '-C 2y'
loop_
_atom_site_label
_atom_site_fract_x
_atom_site_fract_y
_atom_site_fract_z
Zr1 0.0932 0.2476 0.3843
Zr2 0.0990 0.0000 0.8953
Zr3 0.1006 0.5000 0.9237
Ga1 0.2467 0.5000 0.6659
C1 0.0000 0.0000 0.5000
C2 0.0000 0.2414 0.0000
```



How do the records compare in formation enthalpy at 0 K? In the order shown, they have -0.480 -0.340 -0.404 eV/atom.